Entry 1:
Computed, not measured: an optimized crystal structure of LiAc2La at the GGA-PBE level of DFT.

Values from the calculation:
Crystal system = tetragonal
DOS at the Fermi energy = 6.16 states/eV/cell

a = 3.944 Å, b = 3.944 Å, c = 9.551 Å
α = 90.00°, β = 90.00°, γ = 90.00°
Fractional positions:
Li 0.000 0.000 0.000
Ac 0.500 0.500 0.223
Ac 0.500 0.500 0.777
La 0.000 0.000 0.500



Entry 2:
Computed, not measured: an optimized crystal structure of Li4AcLa at the GGA-PBE level of DFT.

Values from the calculation:
Crystal system = cubic
DOS at the Fermi energy = 5.69 states/eV/cell

a = 6.180 Å, b = 6.180 Å, c = 6.180 Å
α = 60.00°, β = 60.00°, γ = 60.00°
Fractional positions:
Li 0.124 0.124 0.124
Li 0.124 0.124 0.628
Li 0.124 0.628 0.124
Li 0.628 0.124 0.124
Ac 0.500 0.500 0.500
La 0.750 0.750 0.750



no.,formation energy from the elements (eV per atom)
1,0.048
2,0.088